(1)
DFT (PBE) results for a relaxed structure of Tb8Y3Mg.

Results
ΔE_f   0.03 eV/atom
Space group   P1, No. 1
Electronic total energy   -4.801 eV per atom

Cell: 3.5851 12.9569 12.1115 Å, 47.70 107.22 90.00°
Closest atoms and distances in Å follow each position.
Fractional coordinates of all 12 atoms:
Tb 0.6010 0.7999 0.8509  7 Tb 3.48-3.59, 4 Y 3.51-3.56, 1 Mg 3.58
Tb 0.2009 0.1393 0.4508  10 Tb 3.48-3.61, 2 Y 3.56
Tb 0.0144 0.0793 0.7650  3 Y 3.45-3.49, 8 Tb 3.50-3.61
Tb 0.2047 0.4118 0.4548  5 Y 3.41-3.55, 7 Tb 3.56-3.59
Tb 0.8020 0.5799 0.5521  3 Y 3.45-3.52, 2 Mg 3.46, 7 Tb 3.47-3.62
Tb 0.9875 0.9162 0.2368  3 Y 3.43-3.54, 8 Tb 3.56-3.62
Tb 0.3879 0.2076 0.1376  2 Mg 3.47, 3 Y 3.48, 7 Tb 3.55-3.62
Tb 0.8008 0.8491 0.5500  10 Tb 3.47-3.62, 2 Mg 3.50
Y 0.5950 0.2543 0.8458  8 Tb 3.41-3.52, 1 Mg 3.53, 2 Y 3.59
Y 0.3992 0.4692 0.1490  7 Tb 3.48-3.56, 2 Mg 3.51, 3 Y 3.53-3.59
Y 0.4074 0.7366 0.1570  8 Tb 3.45-3.54, 3 Y 3.53-3.59
Mg 0.5975 0.5265 0.8466  7 Tb 3.46-3.58, 3 Y 3.51-3.53, 2 Mg 3.59



(2)
DFT (PBE) results for a relaxed structure of Mn2TlAs.

Results
ΔE_f   0.27 eV/atom
Space group   Pm, No. 6
Electronic total energy   -6.073 eV per atom
Energy above the most stable polymorph in this dataset   66 meV/atom

Cell: 3.7611 3.3290 6.2307 Å, 81.14 90.00 90.00°
Closest atoms and distances in Å follow each position.
Fractional coordinates of all 4 atoms:
As 0.5000 0.6828 0.9232  6 Mn 2.46-2.52
Mn 0.0000 0.1888 0.9078  4 As 2.51-2.52, 2 Mn 2.68
Mn 0.5000 0.0940 0.2190  2 As 2.46-2.47, 2 Mn 2.68
Tl 0.0000 0.5344 0.4500  5 Mn 2.87-2.91



(3)
DFT (PBE) results for a relaxed structure of KLi2Ag.

Results
ΔE_f   0.03 eV/atom
Space group   P2/m, No. 10
Electronic total energy   -1.916 eV per atom

Cell: 3.4174 3.6638 9.2701 Å, 66.88 90.00 90.00°
Closest atoms and distances in Å follow each position.
Fractional coordinates of all 4 atoms:
Ag 0.5000 0.2500 0.2500  8 Li 2.84
K 0.5000 0.7500 0.7500  4 K 3.42-3.66
Li 0.0000 0.9073 0.0931  1 Li 2.68, 4 Ag 2.84
Li 0.0000 0.5927 0.4069  1 Li 2.68, 4 Ag 2.84



(4)
DFT (PBE) results for a relaxed structure of ScCdAgBr6.

Results
Raw formation energy   -1.08 eV/atom
Space group   P-31c, No. 163
Electronic total energy   -3.318 eV per atom

Cell: 6.9337 6.9337 12.8218 Å, 90.00 90.00 120.00°
Closest atoms and distances in Å follow each position.
Fractional coordinates of all 18 atoms:
Sc 0.6667 0.3333 0.2500  6 Br 2.68
Sc 0.3333 0.6667 0.7500  6 Br 2.68
Cd 0.3333 0.6667 0.2500  6 Br 2.81
Cd 0.6667 0.3333 0.7500  6 Br 2.81
Ag 0.0000 0.0000 0.0000  6 Br 2.93
Ag 0.0000 0.0000 0.5000  6 Br 2.93
Br 0.6578 0.6429 0.1286  1 Sc 2.68, 1 Cd 2.81, 1 Ag 2.93
Br 0.9851 0.3422 0.1286  1 Sc 2.68, 1 Cd 2.81, 1 Ag 2.93
Br 0.3422 0.9851 0.6286  1 Sc 2.68, 1 Cd 2.81, 1 Ag 2.93
Br 0.0149 0.6578 0.8714  1 Sc 2.68, 1 Cd 2.81, 1 Ag 2.93
Br 0.3571 0.3422 0.3714  1 Sc 2.68, 1 Cd 2.81, 1 Ag 2.93
Br 0.9851 0.6429 0.3714  1 Sc 2.68, 1 Cd 2.81, 1 Ag 2.93
Br 0.6429 0.9851 0.8714  1 Sc 2.68, 1 Cd 2.81, 1 Ag 2.93
Br 0.6578 0.0149 0.3714  1 Sc 2.68, 1 Cd 2.81, 1 Ag 2.93
Br 0.0149 0.3571 0.6286  1 Sc 2.68, 1 Cd 2.81, 1 Ag 2.93
Br 0.3571 0.0149 0.1286  1 Sc 2.68, 1 Cd 2.81, 1 Ag 2.93
Br 0.6429 0.6578 0.6286  1 Sc 2.68, 1 Cd 2.81, 1 Ag 2.93
Br 0.3422 0.3571 0.8714  1 Sc 2.68, 1 Cd 2.81, 1 Ag 2.93